1.
The following is a GGA-PBEsol calculation of a relaxed Rb3GePt crystal, from Alexandria.

```
5
Lattice="6.247 0.000 0.000 0.000 6.247 0.000 0.000 0.000 6.247" Properties=species:S:1:pos:R:3 pbc="T T T"
Rb 0.000 0.000 3.124
Rb 0.000 3.124 0.000
Rb 3.124 0.000 0.000
Ge 0.000 0.000 0.000
Pt 3.124 3.124 3.124
```

Properties
Calculated volume, Å³/atom: 48.76
SG: Pm-3m, No. 221
ρ, g/cm³: 3.57
VASP energy, eV per atom: -2.140
Fermi-level density of states, states/eV/f.u.: 16.6
Formation energy from the elements, kJ/mol of formula units: 413



2.
The following is a GGA-PBEsol calculation of a relaxed ReGePt3 crystal, from Alexandria.

```
5
Lattice="4.541 0.000 0.000 0.000 4.541 0.000 0.000 0.000 4.541" Properties=species:S:1:pos:R:3 pbc="T T T"
Re 0.000 0.000 0.000
Ge 2.271 2.271 2.271
Pt 0.000 2.271 2.271
Pt 2.271 0.000 2.271
Pt 2.271 2.271 0.000
```

Properties
Calculated volume, Å³/atom: 18.73
SG: Pm-3m, No. 221
ρ, g/cm³: 14.97
VASP energy, eV per atom: -6.503
Fermi-level density of states, states/eV/f.u.: 4.3
Formation energy from the elements, kJ/mol of formula units: 641



3.
The following is a GGA-PBEsol calculation of a relaxed Ge3PtRh crystal, from Alexandria.

```
5
Lattice="4.720 0.000 0.000 0.000 4.720 0.000 0.000 0.000 4.720" Properties=species:S:1:pos:R:3 pbc="T T T"
Ge 0.000 0.000 2.360
Ge 0.000 2.360 0.000
Ge 2.360 0.000 0.000
Pt 0.000 0.000 0.000
Rh 2.360 2.360 2.360
```

Properties
Calculated volume, Å³/atom: 21.03
SG: Pm-3m, No. 221
ρ, g/cm³: 8.15
VASP energy, eV per atom: -5.234
Fermi-level density of states, states/eV/f.u.: 3.5
Formation energy from the elements, kJ/mol of formula units: 362



4.
The following is a GGA-PBEsol calculation of a relaxed Tc2GePtRh crystal, from Alexandria.

```
5
Lattice="4.621 0.000 0.000 0.000 4.621 0.000 0.000 0.000 4.806" Properties=species:S:1:pos:R:3 pbc="T T T"
Tc 0.000 2.310 0.000
Tc 2.310 0.000 0.000
Ge 0.000 0.000 2.403
Pt 2.310 2.310 0.000
Rh 2.310 2.310 2.403
```

Properties
Calculated volume, Å³/atom: 20.52
SG: P4/mmm, No. 123
ρ, g/cm³: 9.17
VASP energy, eV per atom: -6.645
Fermi-level density of states, states/eV/f.u.: 8.3
Formation energy from the elements, kJ/mol of formula units: 902



5.
The following is a GGA-PBEsol calculation of a relaxed GePtS2 crystal, from Alexandria.

```
4
Lattice="1.729 0.999 7.825 -1.729 0.999 7.825 0.000 -1.997 7.825" Properties=species:S:1:pos:R:3 pbc="T T T"
Ge 0.000 0.000 0.000
Pt 0.000 0.000 11.738
S 0.000 0.000 2.626
S 0.000 0.000 20.851
```

Properties
Calculated volume, Å³/atom: 20.27
Formation energy without anion corrections, eV/atom: -0.07
SG: R-3m, No. 166
ρ, g/cm³: 6.80
VASP energy, eV per atom: -5.234
Fermi-level density of states, states/eV/f.u.: 1.9



6.
The following is a GGA-PBEsol calculation of a relaxed ScGePt crystal, from Alexandria.

```
12
Lattice="6.549 0.000 0.000 0.000 4.217 0.000 0.000 0.000 7.392" Properties=species:S:1:pos:R:3 pbc="T T T"
Sc 0.004 1.054 1.510
Sc 3.270 3.163 5.206
Sc 3.279 1.054 2.186
Sc 6.544 3.163 5.883
Ge 1.293 1.054 4.376
Ge 1.982 3.163 0.680
Ge 4.567 1.054 6.712
Ge 5.256 3.163 3.016
Pt 1.341 3.163 3.084
Pt 1.933 1.054 6.781
Pt 4.616 3.163 0.612
Pt 5.207 1.054 4.308
```

Properties
Calculated volume, Å³/atom: 17.01
SG: Pnma, No. 62
ρ, g/cm³: 10.17
VASP energy, eV per atom: -7.280
Fermi-level density of states, states/eV/f.u.: 1.1
Formation energy from the elements, kJ/mol of formula units: -322



7.
The following is a GGA-PBEsol calculation of a relaxed ScGe2Pt crystal, from Alexandria.

```
4
Lattice="0.000 3.207 3.207 3.207 0.000 3.207 3.207 3.207 0.000" Properties=species:S:1:pos:R:3 pbc="T T T"
Sc 0.000 0.000 0.000
Ge 1.604 1.604 1.604
Ge 4.811 4.811 4.811
Pt 3.207 3.207 3.207
```

Properties
Calculated volume, Å³/atom: 16.50
SG: Fm-3m, No. 225
ρ, g/cm³: 9.70
VASP energy, eV per atom: -6.334
Fermi-level density of states, states/eV/f.u.: 3.3
Formation energy from the elements, kJ/mol of formula units: -182



8.
The following is a GGA-PBEsol calculation of a relaxed Si2GePt crystal, from Alexandria.

```
8
Lattice="-2.786 2.786 5.235 2.786 -2.786 5.235 2.786 2.786 -5.235" Properties=species:S:1:pos:R:3 pbc="T T T"
Si 4.180 1.317 -1.309
Si 1.317 1.393 1.309
Si -1.393 1.470 3.926
Si 1.470 1.393 6.543
Ge 2.786 0.000 2.617
Ge 0.000 0.000 5.235
Pt 0.000 0.000 0.000
Pt 0.000 2.786 2.617
```

Properties
Calculated volume, Å³/atom: 20.32
Formation energy without anion corrections, eV/atom: -0.06
SG: I-42d, No. 122
ρ, g/cm³: 6.62
VASP energy, eV per atom: -5.913
Fermi-level density of states, states/eV/f.u.: 1.9



9.
The following is a GGA-PBEsol calculation of a relaxed Sm2Ge3Pt crystal, from Alexandria.

```
6
Lattice="4.014 0.000 0.000 0.000 4.354 0.000 0.000 0.000 7.173" Properties=species:S:1:pos:R:3 pbc="T T T"
Sm 0.000 0.000 0.000
Sm 0.000 2.177 3.562
Ge 2.007 0.000 4.754
Ge 2.007 2.177 1.227
Ge 2.007 2.177 5.944
Pt 2.007 0.000 2.338
```

Properties
Calculated volume, Å³/atom: 20.90
SG: Pmm2, No. 25
ρ, g/cm³: 9.45
VASP energy, eV per atom: -6.238
Fermi-level density of states, states/eV/f.u.: 2.4
Formation energy from the elements, kJ/mol of formula units: -527



10.
The following is a GGA-PBEsol calculation of a relaxed SmGePt crystal, from Alexandria.

```
24
Lattice="4.394 0.000 0.000 0.000 14.192 0.000 0.000 0.000 7.541" Properties=species:S:1:pos:R:3 pbc="T T T"
Sm 1.099 0.034 1.563
Sm 1.099 3.548 2.237
Sm 1.099 7.062 1.563
Sm 1.099 10.644 2.209
Sm 3.296 3.548 5.332
Sm 3.296 7.129 5.978
Sm 3.296 10.644 5.304
Sm 3.296 14.158 5.978
Ge 1.099 1.413 4.449
Ge 1.099 5.682 4.449
Ge 1.099 9.293 6.866
Ge 1.099 11.995 6.866
Ge 3.296 2.197 0.675
Ge 3.296 4.899 0.675
Ge 3.296 8.509 3.092
Ge 3.296 12.778 3.092
Pt 1.099 2.025 6.942
Pt 1.099 5.071 6.942
Pt 1.099 8.476 4.396
Pt 1.099 12.812 4.396
Pt 3.296 1.380 3.145
Pt 3.296 5.716 3.145
Pt 3.296 9.121 0.599
Pt 3.296 12.167 0.599
```

Properties
Calculated volume, Å³/atom: 19.59
SG: Pmmn, No. 59
ρ, g/cm³: 11.81
VASP energy, eV per atom: -6.802
Fermi-level density of states, states/eV/f.u.: 1.1
Formation energy from the elements, kJ/mol of formula units: -329



11.
The following is a GGA-PBEsol calculation of a relaxed SmGePt crystal, from Alexandria.

```
12
Lattice="7.094 0.000 0.000 0.000 4.375 0.000 0.000 0.000 7.584" Properties=species:S:1:pos:R:3 pbc="T T T"
Sm 0.026 1.094 1.529
Sm 3.521 3.281 5.321
Sm 3.573 1.094 2.263
Sm 7.068 3.281 6.055
Ge 1.325 1.094 4.453
Ge 2.222 3.281 0.661
Ge 4.872 1.094 6.923
Ge 5.769 3.281 3.131
Pt 1.432 3.281 3.146
Pt 2.115 1.094 6.938
Pt 4.979 3.281 0.646
Pt 5.661 1.094 4.438
```

Properties
Calculated volume, Å³/atom: 19.62
SG: Pnma, No. 62
ρ, g/cm³: 11.80
VASP energy, eV per atom: -6.790
Fermi-level density of states, states/eV/f.u.: 1.7
Formation energy from the elements, kJ/mol of formula units: -326



12.
The following is a GGA-PBEsol calculation of a relaxed SmGe2Pt crystal, from Alexandria.

```
16
Lattice="-2.179 4.357 8.146 2.179 -4.357 8.146 2.179 4.357 -8.146" Properties=species:S:1:pos:R:3 pbc="T T T"
Sm 0.000 0.000 3.302
Sm 0.000 2.080 0.000
Sm 0.000 6.634 0.000
Sm 0.000 0.000 12.991
Ge 2.179 0.000 1.214
Ge 2.179 -1.311 4.914
Ge 0.000 0.000 6.929
Ge 2.179 1.311 4.914
Ge 0.000 3.046 3.233
Ge 0.000 0.000 9.364
Ge 0.000 5.668 3.233
Ge 0.000 4.357 6.933
Pt 2.179 2.189 -2.427
Pt 2.179 2.189 2.427
Pt 0.000 2.168 5.719
Pt 0.000 2.168 10.574
```

Properties
Calculated volume, Å³/atom: 19.34
SG: Immm, No. 71
ρ, g/cm³: 10.54
VASP energy, eV per atom: -6.430
Fermi-level density of states, states/eV/f.u.: 1.2
Formation energy from the elements, kJ/mol of formula units: -365